A plane-wave DFT calculation with PBE was carried out for a relaxed structure of CsTa2VSe8.

a = 6.6868 Å, b = 6.6868 Å, c = 29.2203 Å
α = 90.00°, β = 90.00°, γ = 120.00°
Last column: nearest neighbours and their distance in Å.
Space group R-3 (No. 148, hexagonal axes)
Inequivalent atoms, fractional coordinates:
Cs  0.0000  0.0000  0.0000 (multiplicity 3)  12 Se 3.89-4.10
Ta  0.0000  0.0000  0.2371 (multiplicity 6)  4 Se 2.35-2.45
V  0.0000  0.0000  0.5000 (multiplicity 3)  6 Se 2.52
Se  0.0000  0.0000  0.3175 (multiplicity 6)  1 Ta 2.35
Se  0.0116  0.6962  0.5493 (multiplicity 18)  1 Ta 2.45, 1 V 2.52

The calculation puts the spin magnetization at 0.12 Bohr magnetons per cell. The formation energy (no corrections) comes out at -543.9 meV per atom.

=====

A plane-wave DFT calculation with PBE was carried out for a relaxed structure of Cs3Y3TaSe8.

a = 8.2206 Å, b = 8.2206 Å, c = 25.7023 Å
α = 90.00°, β = 90.00°, γ = 120.00°
Last column: nearest neighbours and their distance in Å.
Space group R-3m (No. 166, hexagonal axes)
Inequivalent atoms, fractional coordinates:
Cs  0.0000  0.5000  0.0000 (multiplicity 9)  6 Se 3.58-3.59
Y  0.0000  0.5000  0.5000 (multiplicity 9)  6 Se 2.87-2.89
Ta  0.0000  0.0000  0.5000 (multiplicity 3)  6 Se 2.68
Se  0.0000  0.0000  0.2292 (multiplicity 6)  3 Y 2.87
Se  0.0234  0.5117  0.2259 (multiplicity 18)  1 Ta 2.68, 2 Y 2.89

The calculation puts the spin magnetization at 3.04 Bohr magnetons per cell. The formation energy (no corrections) comes out at -1496.7 meV per atom.

=====

A plane-wave DFT calculation with PBE was carried out for a relaxed structure of CsTb4Se6.

a = 4.1773 Å, b = 13.9072 Å, c = 22.2367 Å
α = 90.00°, β = 90.00°, γ = 90.00°
Last column: nearest neighbours and their distance in Å.
Space group Cmcm (No. 63)
Inequivalent atoms, fractional coordinates:
Cs  0.0000  0.1566  0.2500 (multiplicity 4)  6 Se 3.49-3.52
Tb  0.0000  0.0980  0.6308 (multiplicity 8)  5 Se 2.72-3.00
Tb  0.0000  0.3682  0.5390 (multiplicity 8)  6 Se 2.76-2.98
Se  0.0000  0.0000  0.0000 (multiplicity 4)  6 Tb 2.91-3.21
Se  0.0000  0.1424  0.7500 (multiplicity 4)  2 Tb 2.72
Se  0.0000  0.2700  0.0797 (multiplicity 8)  5 Tb 2.97-3.00
Se  0.0000  0.4650  0.6476 (multiplicity 8)  3 Tb 2.76-2.81

Its excess energy over the best structure of this formula in the dataset is 0 meV/atom. The calculation puts the spin magnetization at 0.00 Bohr magnetons per cell. The formation energy (no corrections) comes out at -1768.2 meV per atom.

=====

A plane-wave DFT calculation with PBE was carried out for a relaxed structure of CsTbSe.

a = 5.0017 Å, b = 5.0013 Å, c = 12.1373 Å
α = 90.00°, β = 90.25°, γ = 90.00°
Last column: nearest neighbours and their distance in Å.
Space group P2_1/m (No. 11)
Inequivalent atoms, fractional coordinates:
Cs  0.2490  0.2500  0.1800 (multiplicity 2)  4 Se 4.33-4.34, 4 Tb 4.61-4.63
Tb  0.2499  0.7500  0.5000 (multiplicity 2)  4 Se 2.86
Se  0.2513  0.2500  0.6135 (multiplicity 2)  4 Tb 2.86

The calculation puts the spin magnetization at 0.00 Bohr magnetons per cell. The formation energy (no corrections) comes out at -940.8 meV per atom.